{"formula": "TaFeBOs", "functional": "PBE", "state": "relaxed", "lattice": [[0.000, 2.985, 2.985], [2.985, 0.000, 2.985], [2.985, 2.985, 0.000]], "species": ["Ta", "Fe", "B", "Os"], "frac_coords": [[0.000, 0.000, 0.000], [0.500, 0.500, 0.500], [0.250, 0.250, 0.250], [0.750, 0.750, 0.750]], "magnetic_moment_mub_per_fu": 3.5, "dft_energy_ev_per_atom": -8.999, "sg": "F-43m (216)", "crystal_system": "cubic"}

{"formula": "Na2Os2O5", "functional": "PBE", "state": "relaxed", "lattice": [[3.823, 0.000, 0.000], [0.000, 3.823, 0.000], [0.000, 0.000, 6.994]], "species": ["Na", "Na", "Os", "Os", "O", "O", "O", "O", "O"], "frac_coords": [[0.000, 0.000, 0.000], [0.000, 0.000, 0.500], [0.500, 0.500, 0.203], [0.500, 0.500, 0.797], [0.000, 0.500, 0.204], [0.000, 0.500, 0.796], [0.500, 0.000, 0.204], [0.500, 0.000, 0.796], [0.500, 0.500, 0.500]], "magnetic_moment_mub_per_fu": 0.0, "dft_energy_ev_per_atom": -6.582, "sg": "P4/mmm (123)", "crystal_system": "tetragonal"}

{"formula": "NpUAg", "functional": "PBE", "state": "relaxed", "lattice": [[0.000, 3.290, 3.290], [3.290, 0.000, 3.290], [3.290, 3.290, 0.000]], "species": ["Np", "U", "Ag"], "frac_coords": [[0.000, 0.000, 0.000], [0.250, 0.250, 0.250], [0.500, 0.500, 0.500]], "magnetic_moment_mub_per_fu": 6.0, "dft_energy_ev_per_atom": -8.177, "sg": "F-43m (216)", "crystal_system": "cubic", "ef_mev_per_atom": 786}

{"formula": "NpSnTe", "functional": "PBE", "state": "relaxed", "lattice": [[0.000, 3.646, 3.646], [3.646, 0.000, 3.646], [3.646, 3.646, 0.000]], "species": ["Np", "Sn", "Te"], "frac_coords": [[0.000, 0.000, 0.000], [0.500, 0.500, 0.500], [0.250, 0.250, 0.250]], "magnetic_moment_mub_per_fu": 4.9, "dft_energy_ev_per_atom": -6.495, "sg": "F-43m (216)", "crystal_system": "cubic"}

{"formula": "NbAlCoCu", "functional": "PBE", "state": "relaxed", "lattice": [[0.000, 3.003, 3.003], [3.003, 0.000, 3.003], [3.003, 3.003, 0.000]], "species": ["Nb", "Al", "Co", "Cu"], "frac_coords": [[0.000, 0.000, 0.000], [0.500, 0.500, 0.500], [0.750, 0.750, 0.750], [0.250, 0.250, 0.250]], "magnetic_moment_mub_per_fu": 0.0, "dft_energy_ev_per_atom": -6.443, "sg": "F-43m (216)", "crystal_system": "cubic"}

{"formula": "LuCdCu2", "functional": "PBE", "state": "relaxed", "lattice": [[0.000, 3.260, 3.260], [3.260, 0.000, 3.260], [3.260, 3.260, 0.000]], "species": ["Lu", "Cd", "Cu", "Cu"], "frac_coords": [[0.000, 0.000, 0.000], [0.750, 0.750, 0.750], [0.250, 0.250, 0.250], [0.500, 0.500, 0.500]], "magnetic_moment_mub_per_fu": 0.0, "dft_energy_ev_per_atom": -3.258, "sg": "F-43m (216)", "crystal_system": "cubic", "ef_mev_per_atom": -45}

{"formula": "Pu6SiGe", "functional": "PBE", "state": "relaxed", "lattice": [[4.510, 0.000, 0.000], [0.000, 4.510, 0.000], [0.000, 0.000, 9.022]], "species": ["Pu", "Pu", "Pu", "Pu", "Pu", "Pu", "Si", "Ge"], "frac_coords": [[0.000, 0.000, 0.000], [0.000, 0.000, 0.500], [0.000, 0.500, 0.246], [0.000, 0.500, 0.754], [0.500, 0.000, 0.246], [0.500, 0.000, 0.754], [0.500, 0.500, 0.000], [0.500, 0.500, 0.500]], "magnetic_moment_mub_per_fu": 33.8, "dft_energy_ev_per_atom": -12.191, "sg": "P4/mmm (123)", "crystal_system": "tetragonal"}

{"formula": "Cs3ZnBr5", "functional": "PBE", "state": "relaxed", "lattice": [[9.602, 0.000, 0.000], [0.000, 11.094, 0.000], [0.000, 0.000, 14.228]], "species": ["Cs", "Cs", "Cs", "Cs", "Cs", "Cs", "Cs", "Cs", "Cs", "Cs", "Cs", "Cs", "Zn", "Zn", "Zn", "Zn", "Br", "Br", "Br", "Br", "Br", "Br", "Br", "Br", "Br", "Br", "Br", "Br", "Br", "Br", "Br", "Br", "Br", "Br", "Br", "Br"], "frac_coords": [[0.087, 0.019, 0.173], [0.087, 0.481, 0.173], [0.090, 0.250, 0.454], [0.410, 0.750, 0.954], [0.413, 0.519, 0.673], [0.413, 0.981, 0.673], [0.587, 0.019, 0.327], [0.587, 0.481, 0.327], [0.590, 0.250, 0.046], [0.910, 0.750, 0.546], [0.913, 0.519, 0.827], [0.913, 0.981, 0.827], [0.189, 0.250, 0.895], [0.311, 0.750, 0.395], [0.689, 0.250, 0.605], [0.811, 0.750, 0.105], [0.029, 0.750, 0.015], [0.139, 0.250, 0.727], [0.162, 0.750, 0.739], [0.191, 0.565, 0.437], [0.191, 0.935, 0.437], [0.309, 0.065, 0.937], [0.309, 0.435, 0.937], [0.338, 0.250, 0.239], [0.361, 0.750, 0.227], [0.471, 0.250, 0.515], [0.529, 0.750, 0.485], [0.639, 0.250, 0.773], [0.662, 0.750, 0.761], [0.691, 0.565, 0.063], [0.691, 0.935, 0.063], [0.809, 0.065, 0.563], [0.809, 0.435, 0.563], [0.838, 0.250, 0.261], [0.861, 0.750, 0.273], [0.971, 0.250, 0.985]], "dft_energy_ev_per_atom": -2.895, "sg": "Pnma (62)", "crystal_system": "orthorhombic"}